Record 1
# LuTlAgPb (PBE-GGA, relaxed)
# Energy of formation from the pure elements ... -0.07 eV/atom
# VASP energy ... -54.92 eV for the cell shown
# Calculated volume ... 25.01 Å³/atom
data_LuTlAgPb
_chemical_formula_sum 'Lu4 Tl4 Ag4 Pb4'
_symmetry_space_group_name_H-M 'F -4 3 m'
_symmetry_Int_Tables_number 216
_symmetry_space_group_name_Hall 'F -4 2 3'
_cell_length_a 7.369
_cell_length_b 7.369
_cell_length_c 7.369
_cell_angle_alpha 90.00
_cell_angle_beta 90.00
_cell_angle_gamma 90.00
loop_
_atom_site_label
_atom_site_type_symbol
_atom_site_fract_x
_atom_site_fract_y
_atom_site_fract_z
Lu1 Lu 0.000 0.000 0.000
Tl1 Tl 0.250 0.250 0.750
Ag1 Ag 0.000 0.000 0.500
Pb1 Pb 0.250 0.250 0.250

---

Record 2
# KRbCdBi (PBE-GGA, relaxed)
# Energy of formation from the pure elements ... -0.18 eV/atom
# VASP energy ... -30.27 eV for the cell shown
# Calculated volume ... 37.02 Å³/atom
data_KRbCdBi
_chemical_formula_sum 'K4 Rb4 Cd4 Bi4'
_symmetry_space_group_name_H-M 'F -4 3 m'
_symmetry_Int_Tables_number 216
_symmetry_space_group_name_Hall 'F -4 2 3'
_cell_length_a 8.398
_cell_length_b 8.398
_cell_length_c 8.398
_cell_angle_alpha 90.00
_cell_angle_beta 90.00
_cell_angle_gamma 90.00
loop_
_atom_site_label
_atom_site_type_symbol
_atom_site_fract_x
_atom_site_fract_y
_atom_site_fract_z
K1 K 0.000 0.000 0.000
Rb1 Rb 0.250 0.250 0.250
Cd1 Cd 0.000 0.000 0.500
Bi1 Bi 0.250 0.250 0.750

---

Record 3
# MnNbCoHSe2 (PBE-GGA, relaxed)
# Energy relative to the lowest polymorph listed for this composition ... 0.2114 eV/atom
# VASP energy ... -37.25 eV for the cell shown
# Calculated volume ... 16.77 Å³/atom
data_MnNbCoHSe2
_chemical_formula_sum 'Mn1 Nb1 Co1 H1 Se2'
_symmetry_space_group_name_H-M 'P 1 m 1'
_symmetry_Int_Tables_number 6
_cell_length_a 4.149
_cell_length_b 3.297
_cell_length_c 7.359
_cell_angle_alpha 90.00
_cell_angle_beta 90.35
_cell_angle_gamma 90.00
loop_
_symmetry_equiv_pos_as_xyz
'x,y,z'
'x,-y,z'
loop_
_atom_site_label
_atom_site_type_symbol
_atom_site_fract_x
_atom_site_fract_y
_atom_site_fract_z
Mn1 Mn 0.000 0.000 0.000
Nb1 Nb 0.997 0.500 0.718
Co1 Co 0.499 0.500 0.949
H1 H 0.994 0.500 0.470
Se1 Se 0.497 0.000 0.686
Se2 Se 0.502 0.000 0.175

---

Record 4
# CsLi4Ca3Cl12 (PBE-GGA, relaxed)
# VASP energy ... -225.19 eV for the cell shown
# ΔE_f (raw) ... -1.920 eV per atom
# Calculated volume ... 30.39 Å³/atom
data_CsLi4Ca3Cl12
_chemical_formula_sum 'Cs3 Li12 Ca9 Cl36'
_symmetry_space_group_name_H-M 'R 3 2'
_symmetry_Int_Tables_number 155
_symmetry_space_group_name_Hall 'R 3 2"'
_cell_length_a 14.7092
_cell_length_b 14.7092
_cell_length_c 9.7314
_cell_angle_alpha 90.00
_cell_angle_beta 90.00
_cell_angle_gamma 120.00
loop_
_atom_site_label
_atom_site_type_symbol
_atom_site_fract_x
_atom_site_fract_y
_atom_site_fract_z
Cs1 Cs 0.0000 0.0000 0.0000
Li1 Li 0.0000 0.0000 0.5000
Li2 Li 0.0000 0.4350 0.5000
Ca1 Ca 0.0000 0.5615 0.0000
Cl1 Cl 0.0000 0.5946 0.5000
Cl2 Cl 0.0000 0.8420 0.5000
Cl3 Cl 0.0545 0.2306 0.1742

---

Record 5
# AlGa4Co5 (PBE-GGA, relaxed)
# Energy of formation from the pure elements ... -0.35 eV/atom
# VASP energy ... -54.84 eV for the cell shown
# Calculated volume ... 11.89 Å³/atom
data_AlGa4Co5
_chemical_formula_sum 'Al1 Ga4 Co5'
_symmetry_space_group_name_H-M 'P 4/m m m'
_symmetry_Int_Tables_number 123
_symmetry_space_group_name_Hall '-P 4 2'
_cell_length_a 2.883
_cell_length_b 2.883
_cell_length_c 14.308
_cell_angle_alpha 90.00
_cell_angle_beta 90.00
_cell_angle_gamma 90.00
loop_
_atom_site_label
_atom_site_type_symbol
_atom_site_fract_x
_atom_site_fract_y
_atom_site_fract_z
Al1 Al 0.000 0.000 0.000
Ga1 Ga 0.000 0.000 0.198
Ga2 Ga 0.000 0.000 0.400
Co1 Co 0.500 0.500 0.099
Co2 Co 0.500 0.500 0.299
Co3 Co 0.500 0.500 0.500

---

Record 6
# TbDyScCd (PBE-GGA, relaxed)
# Energy relative to the lowest polymorph listed for this composition ... 0.0000 eV/atom
# Energy of formation from the pure elements ... -0.05 eV/atom
# VASP energy ... -66.69 eV for the cell shown
# Calculated volume ... 26.93 Å³/atom
data_TbDyScCd
_chemical_formula_sum 'Tb4 Dy4 Sc4 Cd4'
_symmetry_space_group_name_H-M 'F -4 3 m'
_symmetry_Int_Tables_number 216
_symmetry_space_group_name_Hall 'F -4 2 3'
_cell_length_a 7.553
_cell_length_b 7.553
_cell_length_c 7.553
_cell_angle_alpha 90.00
_cell_angle_beta 90.00
_cell_angle_gamma 90.00
loop_
_atom_site_label
_atom_site_type_symbol
_atom_site_fract_x
_atom_site_fract_y
_atom_site_fract_z
Tb1 Tb 0.000 0.000 0.000
Dy1 Dy 0.000 0.000 0.500
Sc1 Sc 0.250 0.250 0.250
Cd1 Cd 0.250 0.250 0.750

---

Record 7
# CoOsSe4 (PBE-GGA, relaxed)
# Energy relative to the lowest polymorph listed for this composition ... 1.8049 eV/atom
# VASP energy ... -90.97 eV for the cell shown
# ΔE_f (raw) ... 1.589 eV per atom
# Calculated volume ... 19.35 Å³/atom
data_CoOsSe4
_chemical_formula_sum 'Co4 Os4 Se16'
_symmetry_space_group_name_H-M 'F -4 3 m'
_symmetry_Int_Tables_number 216
_symmetry_space_group_name_Hall 'F -4 2 3'
_cell_length_a 7.743
_cell_length_b 7.743
_cell_length_c 7.743
_cell_angle_alpha 90.00
_cell_angle_beta 90.00
_cell_angle_gamma 90.00
loop_
_atom_site_label
_atom_site_type_symbol
_atom_site_fract_x
_atom_site_fract_y
_atom_site_fract_z
Co1 Co 0.000 0.000 0.000
Os1 Os 0.250 0.250 0.750
Se1 Se 0.125 0.125 0.375

---

Record 8
# K4InAg (PBE-GGA, relaxed)
# Energy of formation from the pure elements ... 0.37 eV/atom
# VASP energy ... -31.12 eV for the cell shown
# Calculated volume ... 45.27 Å³/atom
data_K4InAg
_chemical_formula_sum 'K16 In4 Ag4'
_symmetry_space_group_name_H-M 'F -4 3 m'
_symmetry_Int_Tables_number 216
_symmetry_space_group_name_Hall 'F -4 2 3'
_cell_length_a 10.281
_cell_length_b 10.281
_cell_length_c 10.281
_cell_angle_alpha 90.00
_cell_angle_beta 90.00
_cell_angle_gamma 90.00
loop_
_atom_site_label
_atom_site_type_symbol
_atom_site_fract_x
_atom_site_fract_y
_atom_site_fract_z
K1 K 0.125 0.125 0.125
In1 In 0.000 0.000 0.500
Ag1 Ag 0.250 0.250 0.750

---

Q: Which of these has the lowest VASP energy?
A: CsLi4Ca3Cl12